(1)
VASP calculation (GGA-PBE) on a geometry-optimized KPuTlO4 structure.

Values from the calculation:
**Formation energy from raw total energies**: -14.17 eV/f.u.
**N(E_F)**: 2.19 states/eV/f.u.
**Magnetic moment**: 0.29 μB per atom
**SG**: Imma, No. 74

a = 7.578 Å, b = 7.578 Å, c = 7.578 Å
α = 125.48°, β = 123.39°, γ = 82.49°
Positions (direct):
K1 0.362 0.112 0.250
K2 0.638 0.888 0.750
Pu1 0.000 0.000 0.500
Pu2 0.000 0.500 0.000
Tl1 0.000 0.500 0.500
Tl2 0.500 0.500 0.000
O1 0.167 0.148 0.481
O2 0.167 0.686 0.019
O3 0.180 0.741 0.439
O4 0.198 0.259 0.939
O5 0.802 0.741 0.061
O6 0.820 0.259 0.561
O7 0.833 0.314 0.981
O8 0.833 0.852 0.519


(2)
VASP calculation (GGA-PBE) on a geometry-optimized K2TmPuO6 structure.

Values from the calculation:
**Formation energy from raw total energies**: -25.86 eV/f.u.
**Magnetic moment**: 0.10 μB per atom
**SG**: Fm-3m, No. 225

a = 6.015 Å, b = 6.015 Å, c = 6.015 Å
α = 60.00°, β = 60.00°, γ = 60.00°
Positions (direct):
K1 0.250 0.250 0.250
K2 0.750 0.750 0.750
Tm1 0.000 0.000 0.000
Pu1 0.500 0.500 0.500
O1 0.262 0.262 0.738
O2 0.262 0.738 0.262
O3 0.262 0.738 0.738
O4 0.738 0.262 0.262
O5 0.738 0.262 0.738
O6 0.738 0.738 0.262


(3)
VASP calculation (GGA-PBE) on a geometry-optimized K2TmPu3O12 structure.

Values from the calculation:
**Formation energy from raw total energies**: -45.83 eV/f.u.
**N(E_F)**: 7.89 states/eV/f.u.
**Magnetic moment**: 0.28 μB per atom
**SG**: R-3m, No. 166

a = 7.713 Å, b = 7.713 Å, c = 7.713 Å
α = 62.32°, β = 62.32°, γ = 62.32°
Positions (direct):
K1 0.168 0.168 0.168
K2 0.832 0.832 0.832
Tm1 0.500 0.500 0.500
Pu1 0.000 0.500 0.500
Pu2 0.500 0.000 0.500
Pu3 0.500 0.500 0.000
O1 0.165 0.570 0.570
O2 0.190 0.190 0.555
O3 0.190 0.555 0.190
O4 0.430 0.430 0.835
O5 0.430 0.835 0.430
O6 0.445 0.810 0.810
O7 0.555 0.190 0.190
O8 0.570 0.165 0.570
O9 0.570 0.570 0.165
O10 0.810 0.445 0.810
O11 0.810 0.810 0.445
O12 0.835 0.430 0.430


(4)
VASP calculation (GGA-PBE) on a geometry-optimized K3TmPu2O9 structure.

Values from the calculation:
**Formation energy from raw total energies**: -38.64 eV/f.u.
**N(E_F)**: 8.63 states/eV/f.u.
**Magnetic moment**: 0.27 μB per atom
**SG**: P-3m1, No. 164

a = 6.023 Å, b = 6.023 Å, c = 7.388 Å
α = 90.00°, β = 90.00°, γ = 120.00°
Positions (direct):
K1 0.000 0.000 0.000
K2 0.333 0.667 0.661
K3 0.667 0.333 0.339
Tm1 0.000 0.000 0.500
Pu1 0.333 0.667 0.167
Pu2 0.667 0.333 0.833
O1 0.000 0.500 0.000
O2 0.174 0.347 0.324
O3 0.174 0.826 0.324
O4 0.347 0.174 0.676
O5 0.500 0.000 0.000
O6 0.500 0.500 0.000
O7 0.653 0.826 0.324
O8 0.826 0.174 0.676
O9 0.826 0.653 0.676


(5)
VASP calculation (GGA-PBE) on a geometry-optimized K4Tm3PuO8 structure.

Values from the calculation:
**Formation energy from raw total energies**: -43.01 eV/f.u.
**N(E_F)**: 5.63 states/eV/f.u.
**Magnetic moment**: 0.31 μB per atom
**SG**: R-3m, No. 166

a = 7.419 Å, b = 7.419 Å, c = 7.419 Å
α = 55.70°, β = 55.70°, γ = 55.70°
Positions (direct):
K1 0.000 0.000 0.000
K2 0.000 0.500 0.500
K3 0.500 0.000 0.500
K4 0.500 0.500 0.000
Tm1 0.000 0.000 0.500
Tm2 0.000 0.500 0.000
Tm3 0.500 0.000 0.000
Pu1 0.500 0.500 0.500
O1 0.219 0.733 0.733
O2 0.228 0.228 0.228
O3 0.267 0.267 0.781
O4 0.267 0.781 0.267
O5 0.733 0.219 0.733
O6 0.733 0.733 0.219
O7 0.772 0.772 0.772
O8 0.781 0.267 0.267


(6)
VASP calculation (GGA-PBE) on a geometry-optimized KPuUO6 structure.

Values from the calculation:
**Formation energy from raw total energies**: -25.05 eV/f.u.
**N(E_F)**: 7.08 states/eV/f.u.
**Magnetic moment**: 0.33 μB per atom
**SG**: Imma, No. 74

a = 7.909 Å, b = 7.909 Å, c = 7.909 Å
α = 121.11°, β = 119.35°, γ = 89.60°
Positions (direct):
K1 0.330 0.080 0.250
K2 0.670 0.920 0.750
Pu1 0.000 0.000 0.500
Pu2 0.000 0.500 0.000
U1 0.000 0.500 0.500
U2 0.500 0.500 0.000
O1 0.062 0.430 0.249
O2 0.062 0.813 0.632
O3 0.069 0.819 0.250
O4 0.312 0.562 0.750
O5 0.320 0.187 0.749
O6 0.320 0.570 0.132
O7 0.680 0.430 0.868
O8 0.680 0.813 0.251
O9 0.688 0.438 0.250
O10 0.931 0.181 0.750
O11 0.938 0.187 0.368
O12 0.938 0.570 0.751


- Which value of magnetic moment does entry 4 give?
  0.27 μB per atom


Please write out number 2 again, unchanged.
VASP calculation (GGA-PBE) on a geometry-optimized K2TmPuO6 structure.

Values from the calculation:
**Formation energy from raw total energies**: -25.86 eV/f.u.
**Magnetic moment**: 0.10 μB per atom
**SG**: Fm-3m, No. 225

a = 6.015 Å, b = 6.015 Å, c = 6.015 Å
α = 60.00°, β = 60.00°, γ = 60.00°
Positions (direct):
K1 0.250 0.250 0.250
K2 0.750 0.750 0.750
Tm1 0.000 0.000 0.000
Pu1 0.500 0.500 0.500
O1 0.262 0.262 0.738
O2 0.262 0.738 0.262
O3 0.262 0.738 0.738
O4 0.738 0.262 0.262
O5 0.738 0.262 0.738
O6 0.738 0.738 0.262